No. 1
First-principles (PBE-GGA) data for an optimized crystal structure of La6Nd4Th, as listed in Alexandria. Values from VASP.

Values from the calculation:
Total magnetization ... 0.00 μB/atom
Space group ... Cmcm
Raw total energy ... -109.51 eV/cell
ΔH_f (0 K) ... 118 meV per atom

Cell and atoms, written as Quantum ESPRESSO input:
```
&SYSTEM
  ibrav = 0, nat = 22, ntyp = 3
/
ATOMIC_SPECIES
La 138.91 La.upf
Nd 144.24 Nd.upf
Th 232.04 Th.upf
ATOMIC_POSITIONS crystal
La 0.500 0.000 0.000
La 0.500 0.000 0.500
La 0.111 0.222 0.317
La 0.889 0.778 0.683
La 0.889 0.778 0.817
La 0.111 0.222 0.183
La 0.793 0.586 0.397
La 0.207 0.414 0.603
La 0.207 0.414 0.897
La 0.793 0.586 0.103
La 0.440 0.879 0.250
La 0.560 0.121 0.750
Nd 0.852 0.704 0.544
Nd 0.442 0.885 0.124
Nd 0.148 0.296 0.456
Nd 0.558 0.115 0.876
Nd 0.852 0.704 0.956
Nd 0.148 0.296 0.044
Nd 0.558 0.115 0.624
Nd 0.442 0.885 0.376
Th 0.782 0.564 0.250
Th 0.218 0.436 0.750
CELL_PARAMETERS angstrom
6.062 0.000 0.000
-3.031 4.949 0.000
0.000 0.000 26.371
```



No. 2
First-principles (PBE-GGA) data for an optimized crystal structure of SbRh2W, as listed in Alexandria. Values from VASP.

Values from the calculation:
Total magnetization ... 0.00 μB/atom
Space group ... Pmm2
Raw total energy ... -31.67 eV/cell

Cell and atoms, written as Quantum ESPRESSO input:
```
&SYSTEM
  ibrav = 0, nat = 4, ntyp = 3
/
ATOMIC_SPECIES
Sb 121.76 Sb.upf
Rh 102.91 Rh.upf
W 183.84 W.upf
ATOMIC_POSITIONS crystal
Sb 0.000 0.624 0.437
Rh 0.000 0.126 0.963
Rh 0.500 0.125 0.297
W 0.500 0.626 0.803
CELL_PARAMETERS angstrom
-2.660 3.027 2.072
1.184 -0.702 2.546
3.452 3.475 -0.644
```



no.,N(E_F) (states/eV/cell)
1,35.44
2,2.88